1.
DFT (PBE-GGA) results for an optimized crystal structure of Cs3SiSb.

Output
**Symmetry**: No. 2
**Energy relative to the elements, uncorrected**: -0.1358 eV/atom
**Total energy**: -2.557 eV per atom
**ΔE to the lowest computed polymorph**: 0 meV per atom

Cell: 4.002 11.629 11.632 Å, 114.47 100.07 109.98°
Fractional coordinates of all 10 atoms:
Cs (0.275, 0.256, 0.361)
Cs (0.650, 0.937, 0.753)
Cs (0.392, 0.217, 0.669)
Cs (0.770, 0.899, 0.061)
Cs (0.385, 0.535, 0.028)
Cs (0.660, 0.619, 0.394)
Si (0.188, 0.517, 0.664)
Si (0.856, 0.637, 0.758)
Sb (0.434, 0.910, 0.366)
Sb (0.609, 0.244, 0.056)


2.
DFT (PBE-GGA) results for an optimized crystal structure of CsSiSb3.

Output
**Symmetry**: No. 221
**Energy relative to the elements, uncorrected**: 0.2914 eV/atom
**Total energy**: -3.437 eV per atom
**ΔE to the lowest computed polymorph**: 0 meV per atom

Cell: 5.491 5.491 5.491 Å, 90.00 90.00 90.00°
Fractional coordinates of all 5 atoms:
Cs (0.500, 0.500, 0.500)
Si (0.000, 0.000, 0.000)
Sb (0.000, 0.500, 0.000)
Sb (0.000, 0.000, 0.500)
Sb (0.500, 0.000, 0.000)


3.
DFT (PBE-GGA) results for an optimized crystal structure of CsSiSb.

Output
**Symmetry**: No. 12
**Energy relative to the elements, uncorrected**: -0.1054 eV/atom
**Total energy**: -3.572 eV per atom

Cell: 4.517 7.102 7.944 Å, 72.74 106.52 90.00°
Fractional coordinates of all 6 atoms:
Si (0.731, 0.171, 0.463)
Si (0.269, 0.829, 0.537)
Cs (0.607, 0.704, 0.214)
Cs (0.393, 0.296, 0.786)
Sb (0.869, 0.831, 0.738)
Sb (0.131, 0.169, 0.262)


4.
DFT (PBE-GGA) results for an optimized crystal structure of CsSiSb3.

Output
**Symmetry**: No. 221
**Energy relative to the elements, uncorrected**: 1.9157 eV/atom
**Total energy**: -1.813 eV per atom
**ΔE to the lowest computed polymorph**: 1624 meV per atom

Cell: 6.072 6.072 6.072 Å, 90.00 90.00 90.00°
Fractional coordinates of all 5 atoms:
Cs (0.000, 0.000, 0.000)
Sb (0.000, 0.500, 0.000)
Sb (0.000, 0.000, 0.500)
Sb (0.500, 0.000, 0.000)
Si (0.500, 0.500, 0.500)


5.
DFT (PBE-GGA) results for an optimized crystal structure of Cs2Si2Sb.

Output
**Symmetry**: No. 127
**Energy relative to the elements, uncorrected**: 0.1103 eV/atom
**Total energy**: -3.225 eV per atom

Cell: 7.483 7.483 6.064 Å, 90.00 90.00 90.00°
Fractional coordinates of all 10 atoms:
Cs (0.202, 0.702, 0.500)
Cs (0.702, 0.798, 0.500)
Cs (0.798, 0.298, 0.500)
Cs (0.298, 0.202, 0.500)
Sb (0.000, 0.000, 0.000)
Sb (0.500, 0.500, 0.000)
Si (0.393, 0.893, 0.000)
Si (0.893, 0.607, 0.000)
Si (0.607, 0.107, 0.000)
Si (0.107, 0.393, 0.000)


6.
DFT (PBE-GGA) results for an optimized crystal structure of CsSi2SnSb.

Output
**Symmetry**: No. 123
**Energy relative to the elements, uncorrected**: 1.0351 eV/atom
**Total energy**: -2.930 eV per atom

Cell: 5.271 5.271 6.584 Å, 90.00 90.00 90.00°
Fractional coordinates of all 5 atoms:
Cs (0.000, 0.000, 0.500)
Sb (0.500, 0.500, 0.500)
Si (0.000, 0.500, 0.000)
Si (0.500, 0.000, 0.000)
Sn (0.000, 0.000, 0.000)


7.
DFT (PBE-GGA) results for an optimized crystal structure of CsSmSb.

Output
**Symmetry**: No. 166
**Energy relative to the elements, uncorrected**: -0.5769 eV/atom
**Total energy**: -3.809 eV per atom

Cell: 5.157 5.157 14.648 Å, 79.86 79.86 60.00°
Fractional coordinates of all 6 atoms:
Sm (0.306, 0.306, 0.082)
Sm (0.694, 0.694, 0.918)
Cs (0.110, 0.110, 0.671)
Cs (0.890, 0.890, 0.329)
Sb (0.381, 0.381, 0.856)
Sb (0.619, 0.619, 0.144)


8.
DFT (PBE-GGA) results for an optimized crystal structure of Cs2SmSbTe4.

Output
**Symmetry**: No. 74
**Energy relative to the elements, uncorrected**: -0.8996 eV/atom
**Total energy**: -3.789 eV per atom

Cell: 9.755 9.755 9.688 Å, 119.77 119.77 90.02°
Fractional coordinates of all 16 atoms:
Cs (0.500, 0.000, 0.000)
Cs (0.500, 0.000, 0.500)
Cs (0.000, 0.000, 0.500)
Cs (0.500, 0.500, 0.000)
Sm (0.000, 0.500, 0.000)
Sm (0.000, 0.500, 0.500)
Sb (0.500, 0.500, 0.500)
Sb (0.000, 0.000, 0.000)
Te (0.192, 0.733, 0.963)
Te (0.767, 0.308, 0.537)
Te (0.233, 0.692, 0.463)
Te (0.808, 0.267, 0.037)
Te (0.769, 0.731, 0.959)
Te (0.769, 0.731, 0.541)
Te (0.231, 0.269, 0.459)
Te (0.231, 0.269, 0.041)